Material: LiReNi
Method: DFT, PBE
State: optimized geometry

Lattice parameters (Å, degrees): 5.5949 5.5949 5.5949 90.00 90.00 90.00
With the nearest neighbours (Å) after each atom.
Space group F-43m (No. 216)
Asymmetric unit:
Li1 0.0000 0.0000 0.0000 x4  4 Re 2.42
Re1 0.2500 0.2500 0.2500 x4  4 Ni 2.42, 4 Li 2.42
Ni1 0.0000 0.0000 0.5000 x4  4 Re 2.42

**Excess energy over the best structure of this formula in the dataset**: 983 meV/atom
**Total moment**: 0.0 μB per formula unit
**E**: -5.68 eV/atom
**ΔE_f**: 1.03 eV per atom